1.
## PuMg15Tl4 (GGA-PBE)

Data for crystalline PuMg15Tl4 at its relaxed geometry.

POSCAR file:
```
PuMg15Tl4
1.0
4.6884 0.0000 0.0000
0.0000 4.6884 0.0000
0.0000 0.0000 21.8149
Pu Mg Tl
1 15 4
Direct
0.0000 0.0000 0.0000 Pu
0.0000 0.5000 0.1048 Mg
0.0000 0.5000 0.3009 Mg
0.0000 0.5000 0.5000 Mg
0.0000 0.5000 0.6991 Mg
0.0000 0.5000 0.8952 Mg
0.5000 0.0000 0.1048 Mg
0.5000 0.0000 0.3009 Mg
0.5000 0.0000 0.5000 Mg
0.5000 0.0000 0.6991 Mg
0.5000 0.0000 0.8952 Mg
0.5000 0.5000 0.0000 Mg
0.5000 0.5000 0.2050 Mg
0.5000 0.5000 0.3996 Mg
0.5000 0.5000 0.6004 Mg
0.5000 0.5000 0.7950 Mg
0.0000 0.0000 0.2017 Tl
0.0000 0.0000 0.4013 Tl
0.0000 0.0000 0.5987 Tl
0.0000 0.0000 0.7983 Tl
```

- Calculated volume: 480 Å³ per cell
- VASP energy: -2.37 eV/atom
- Magnetic moment: 0.32 μB per atom
- Formation energy from the elements: 0.020 eV/atom

=====

2.
## Nd8Ho6Sc (GGA-PBE)

Data for crystalline Nd8Ho6Sc at its relaxed geometry.

POSCAR file:
```
Nd8Ho6Sc
1.0
4.9317 2.8473 5.8935
-4.9317 2.8473 5.8935
0.0000 -5.6947 5.8935
Nd Ho Sc
8 6 1
Direct
0.0902 0.0902 0.0902 Nd
0.1501 0.2720 0.5639 Nd
0.2720 0.5639 0.1501 Nd
0.4361 0.8499 0.7280 Nd
0.5639 0.1501 0.2720 Nd
0.7280 0.4361 0.8499 Nd
0.8499 0.7280 0.4361 Nd
0.9098 0.9098 0.9098 Nd
0.1204 0.5669 0.7850 Ho
0.2150 0.8796 0.4331 Ho
0.4331 0.2150 0.8796 Ho
0.5669 0.7850 0.1204 Ho
0.7850 0.1204 0.5669 Ho
0.8796 0.4331 0.2150 Ho
0.5000 0.5000 0.5000 Sc
```

- Calculated volume: 497 Å³ per cell
- VASP energy: -4.62 eV/atom
- Distance to the lowest polymorph of the same formula: 1.23 kcal/mol of atoms
- Magnetic moment: 0.00 μB per atom
- Formation energy from the elements: 0.178 eV/atom

=====

3.
## Ca6AlTl (GGA-PBE)

Data for crystalline Ca6AlTl at its relaxed geometry.

POSCAR file:
```
Ca6AlTl
1.0
-2.7091 2.7091 9.4782
2.7091 -2.7091 9.4782
2.7091 2.7091 -9.4782
Ca Al Tl
6 1 1
Direct
0.0985 0.5985 0.5000 Ca
0.2489 0.2489 0.0000 Ca
0.4015 0.9015 0.5000 Ca
0.5985 0.0985 0.5000 Ca
0.7511 0.7511 0.0000 Ca
0.9015 0.4015 0.5000 Ca
0.0000 0.0000 0.0000 Al
0.5000 0.5000 0.0000 Tl
```

- Calculated volume: 278 Å³ per cell
- VASP energy: -2.42 eV/atom
- Magnetic moment: 0.00 μB per atom
- Formation energy from the elements: -0.158 eV/atom

=====

4.
## Cu2Pt (GGA-PBE)

Data for crystalline Cu2Pt at its relaxed geometry.

POSCAR file:
```
Cu2Pt
1.0
6.5087 0.0000 0.0000
0.0000 2.7377 0.0000
-0.3546 0.0000 9.0036
Cu Pt
8 4
Direct
0.0019 0.0000 0.2540 Cu
0.3245 0.5000 0.8278 Cu
0.3353 0.0000 0.5870 Cu
0.3434 0.5000 0.3469 Cu
0.6566 0.5000 0.6531 Cu
0.6647 0.0000 0.4130 Cu
0.6755 0.5000 0.1722 Cu
0.9981 0.0000 0.7460 Cu
0.0000 0.5000 0.0000 Pt
0.0000 0.5000 0.5000 Pt
0.3413 0.0000 0.0977 Pt
0.6587 0.0000 0.9023 Pt
```

- Calculated volume: 160 Å³ per cell
- VASP energy: -4.86 eV/atom
- Distance to the lowest polymorph of the same formula: 0.78 kcal/mol of atoms
- Magnetic moment: 0.00 μB per atom
- Formation energy from the elements: -0.112 eV/atom

=====

5.
## Ac3ZnNi (GGA-PBE)

Data for crystalline Ac3ZnNi at its relaxed geometry.

POSCAR file:
```
Ac3ZnNi
1.0
10.0036 0.0000 0.0000
0.0000 7.0530 0.0000
-4.1533 0.0000 9.3858
Ac Zn Ni
12 4 4
Direct
0.1037 0.0737 0.3654 Ac
0.1037 0.4263 0.8654 Ac
0.2063 0.5924 0.5569 Ac
0.2063 0.9076 0.0569 Ac
0.3857 0.0860 0.7747 Ac
0.3857 0.4140 0.2747 Ac
0.6143 0.5860 0.7253 Ac
0.6143 0.9140 0.2253 Ac
0.7937 0.0924 0.9431 Ac
0.7937 0.4076 0.4431 Ac
0.8963 0.5737 0.1346 Ac
0.8963 0.9263 0.6346 Ac
0.4304 0.6512 0.9333 Zn
0.4304 0.8488 0.4333 Zn
0.5696 0.1512 0.5667 Zn
0.5696 0.3488 0.0667 Zn
0.0876 0.2369 0.6146 Ni
0.0876 0.2631 0.1146 Ni
0.9124 0.7369 0.8854 Ni
0.9124 0.7631 0.3854 Ni
```

- Calculated volume: 662 Å³ per cell
- VASP energy: -4.02 eV/atom
- Distance to the lowest polymorph of the same formula: 1.28 kcal/mol of atoms
- Magnetic moment: 0.00 μB per atom
- Formation energy from the elements: -0.141 eV/atom

=====

6.
## KTiF4 (GGA-PBE)

Data for crystalline KTiF4 at its relaxed geometry.

POSCAR file:
```
KTiF4
1.0
4.0078 0.0000 0.0000
1.9398 7.5505 0.0000
1.9402 2.4831 7.1571
K Ti F
2 2 8
Direct
0.1817 0.3116 0.3135 K
0.8183 0.6884 0.6865 K
0.5001 0.1873 0.8125 Ti
0.4999 0.8127 0.1875 Ti
0.0002 0.1903 0.8093 F
0.9998 0.8097 0.1907 F
0.3811 0.4450 0.7999 F
0.3807 0.8022 0.4436 F
0.4018 0.1020 0.1008 F
0.5982 0.8980 0.8992 F
0.6193 0.1978 0.5564 F
0.6189 0.5550 0.2001 F
```

- Calculated volume: 217 Å³ per cell
- VASP energy: -5.95 eV/atom
- Distance to the lowest polymorph of the same formula: 0.00 kcal/mol of atoms
- Magnetic moment: 0.17 μB per atom

=====

7.
## AcAl6Ga12 (GGA-PBE)

Data for crystalline AcAl6Ga12 at its relaxed geometry.

POSCAR file:
```
AcAl6Ga12
1.0
5.8788 3.3942 3.1424
-5.8788 3.3942 3.1424
0.0000 -6.7883 3.1424
Ac Al Ga
1 6 12
Direct
0.0000 0.0000 0.0000 Ac
0.2842 0.7035 0.7035 Al
0.2965 0.2965 0.7158 Al
0.2965 0.7158 0.2965 Al
0.7035 0.2842 0.7035 Al
0.7035 0.7035 0.2842 Al
0.7158 0.2965 0.2965 Al
0.1071 0.5000 0.8929 Ga
0.1071 0.8929 0.5000 Ga
0.1360 0.3877 0.3877 Ga
0.3877 0.1360 0.3877 Ga
0.3877 0.3877 0.1360 Ga
0.5000 0.1071 0.8929 Ga
0.5000 0.8929 0.1071 Ga
0.6123 0.6123 0.8640 Ga
0.6123 0.8640 0.6123 Ga
0.8640 0.6123 0.6123 Ga
0.8929 0.1071 0.5000 Ga
0.8929 0.5000 0.1071 Ga
```

- Calculated volume: 376 Å³ per cell
- VASP energy: -3.35 eV/atom
- Magnetic moment: 0.00 μB per atom
- Formation energy from the elements: -0.039 eV/atom

=====

8.
## Be2IrAu (GGA-PBE)

Data for crystalline Be2IrAu at its relaxed geometry.

POSCAR file:
```
Be2IrAu
1.0
1.4116 -2.3197 0.0000
1.4116 2.3197 0.0000
0.0000 0.0000 8.1114
Be Ir Au
2 1 1
Direct
0.0000 0.0000 0.0000 Be
0.5000 0.5000 0.2215 Be
0.0000 0.0000 0.4355 Ir
0.5000 0.5000 0.7587 Au
```

- Calculated volume: 53 Å³ per cell
- VASP energy: -4.72 eV/atom
- Magnetic moment: 0.00 μB per atom
- Formation energy from the elements: 0.175 eV/atom

=====

9.
## Sr2ZrBr (GGA-PBE)

Data for crystalline Sr2ZrBr at its relaxed geometry.

POSCAR file:
```
Sr2ZrBr
1.0
-1.9252 3.4206 5.6833
1.9252 -3.4206 5.6833
1.9252 3.4206 -5.6833
Sr Zr Br
2 1 1
Direct
0.2110 0.2110 0.0000 Sr
0.7890 0.7890 0.0000 Sr
0.5000 0.0000 0.5000 Zr
0.0000 0.5000 0.5000 Br
```

- Calculated volume: 150 Å³ per cell
- VASP energy: -3.37 eV/atom
- Distance to the lowest polymorph of the same formula: 9.46 kcal/mol of atoms
- Magnetic moment: 0.62 μB per atom

=====

10.
## YCuAu (GGA-PBE)

Data for crystalline YCuAu at its relaxed geometry.

POSCAR file:
```
YCuAu
1.0
8.3088 -1.8481 0.0000
8.3088 1.8481 0.0000
-0.0198 0.0000 3.9321
Y Cu Au
2 2 2
Direct
0.1137 0.1137 0.2497 Y
0.8863 0.8863 0.7503 Y
0.4591 0.4591 0.2494 Cu
0.5409 0.5409 0.7506 Cu
0.2978 0.2978 0.2502 Au
0.7022 0.7022 0.7498 Au
```

- Calculated volume: 121 Å³ per cell
- VASP energy: -5.17 eV/atom
- Magnetic moment: 0.00 μB per atom
- Formation energy from the elements: -0.556 eV/atom

=====

11.
## NaCa2AcSe4 (GGA-PBE)

Data for crystalline NaCa2AcSe4 at its relaxed geometry.

POSCAR file:
```
NaCa2AcSe4
1.0
7.3803 0.0000 0.0000
0.0000 4.3600 0.0000
-2.4079 0.0000 7.0956
Na Ca Ac Se
1 2 1 4
Direct
0.0000 0.0000 0.0000 Na
0.0000 0.5000 0.5000 Ca
0.5000 0.0000 0.5000 Ca
0.5000 0.5000 0.0000 Ac
0.2449 0.0000 0.7409 Se
0.2566 0.5000 0.2641 Se
0.7434 0.5000 0.7359 Se
0.7551 0.0000 0.2591 Se
```

- Calculated volume: 228 Å³ per cell
- VASP energy: -4.78 eV/atom
- Magnetic moment: 0.00 μB per atom

=====

12.
## Pr3Ga2Ag (GGA-PBE)

Data for crystalline Pr3Ga2Ag at its relaxed geometry.

POSCAR file:
```
Pr3Ga2Ag
1.0
3.6928 0.0000 0.0000
0.0000 3.6928 0.0000
0.0000 0.0000 11.5410
Pr Ga Ag
3 2 1
Direct
0.0000 0.0000 0.0000 Pr
0.0000 0.0000 0.3248 Pr
0.0000 0.0000 0.6752 Pr
0.5000 0.5000 0.1683 Ga
0.5000 0.5000 0.8317 Ga
0.5000 0.5000 0.5000 Ag
```

- Calculated volume: 157 Å³ per cell
- VASP energy: -4.32 eV/atom
- Distance to the lowest polymorph of the same formula: 0.00 kcal/mol of atoms
- Magnetic moment: 0.00 μB per atom
- Formation energy from the elements: -0.446 eV/atom

=====

13.
## HfScHgSe2 (GGA-PBE)

Data for crystalline HfScHgSe2 at its relaxed geometry.

POSCAR file:
```
HfScHgSe2
1.0
5.1228 0.0000 0.0000
0.0000 5.1228 0.0000
0.0000 0.0000 5.6140
Hf Sc Hg Se
1 1 1 2
Direct
0.0000 0.0000 0.0000 Hf
0.0000 0.0000 0.5000 Sc
0.5000 0.5000 0.5000 Hg
0.0000 0.5000 0.0000 Se
0.5000 0.0000 0.0000 Se
```

- Calculated volume: 147 Å³ per cell
- VASP energy: -4.84 eV/atom
- Magnetic moment: 0.00 μB per atom

=====

14.
## Na4TmPu3S8 (GGA-PBE)

Data for crystalline Na4TmPu3S8 at its relaxed geometry.

POSCAR file:
```
Na4TmPu3S8
1.0
6.6963 -3.9680 0.0000
6.6963 3.9680 0.0000
-0.0217 0.0000 6.7986
Na Tm Pu S
4 1 3 8
Direct
0.0000 0.0000 0.0000 Na
0.0000 0.5000 0.5000 Na
0.5000 0.0000 0.5000 Na
0.5000 0.5000 0.0000 Na
0.0000 0.0000 0.5000 Tm
0.0000 0.5000 0.0000 Pu
0.5000 0.0000 0.0000 Pu
0.5000 0.5000 0.5000 Pu
0.1632 0.6723 0.7325 S
0.1657 0.1657 0.7596 S
0.3277 0.8368 0.2675 S
0.3334 0.3334 0.2345 S
0.6666 0.6666 0.7655 S
0.6723 0.1632 0.7325 S
0.8343 0.8343 0.2404 S
0.8368 0.3277 0.2675 S
```

- Calculated volume: 361 Å³ per cell
- VASP energy: -6.86 eV/atom
- Magnetic moment: 0.94 μB per atom

=====

15.
## ScZnCr2 (GGA-PBE)

Data for crystalline ScZnCr2 at its relaxed geometry.

POSCAR file:
```
ScZnCr2
1.0
2.6428 -4.2774 0.0000
2.6428 4.2774 0.0000
0.0000 0.0000 2.5615
Sc Zn Cr
1 1 2
Direct
0.0000 0.0000 0.0000 Sc
0.5000 0.5000 0.0000 Zn
0.0000 0.5000 0.5000 Cr
0.5000 0.0000 0.5000 Cr
```

- Calculated volume: 58 Å³ per cell
- VASP energy: -6.27 eV/atom
- Magnetic moment: 0.00 μB per atom
- Formation energy from the elements: 0.446 eV/atom

=====

16.
## Ba3Hg5Sb2Pb2 (GGA-PBE)

Data for crystalline Ba3Hg5Sb2Pb2 at its relaxed geometry.

POSCAR file:
```
Ba3Hg5Sb2Pb2
1.0
-2.4981 2.4981 17.8440
2.4981 -2.4981 17.8440
2.4981 2.4981 -17.8440
Ba Hg Sb Pb
3 5 2 2
Direct
0.0000 0.0000 0.0000 Ba
0.1957 0.1957 0.0000 Ba
0.8043 0.8043 0.0000 Ba
0.0710 0.5710 0.5000 Hg
0.4290 0.9290 0.5000 Hg
0.5000 0.5000 0.0000 Hg
0.5710 0.0710 0.5000 Hg
0.9290 0.4290 0.5000 Hg
0.2923 0.2923 0.0000 Sb
0.7077 0.7077 0.0000 Sb
0.3722 0.3722 0.0000 Pb
0.6278 0.6278 0.0000 Pb
```

- Calculated volume: 445 Å³ per cell
- VASP energy: -2.30 eV/atom
- Magnetic moment: 0.00 μB per atom

=====

17.
## Na2TeAuI6 (GGA-PBE)

Data for crystalline Na2TeAuI6 at its relaxed geometry.

POSCAR file:
```
Na2TeAuI6
1.0
7.5927 0.0000 0.0000
3.4287 7.3736 0.0000
3.2159 2.1408 7.3878
Na Te Au I
2 1 1 6
Direct
0.0000 0.0000 0.0000 Na
0.4538 0.5085 0.5109 Na
0.6643 0.6733 0.9548 Te
0.1535 0.1652 0.4584 Au
0.0291 0.7853 0.7268 I
0.2939 0.5728 0.1810 I
0.3749 0.1030 0.6682 I
0.5838 0.8886 0.2069 I
0.7584 0.4231 0.7346 I
0.9103 0.2533 0.2612 I
```

- Calculated volume: 414 Å³ per cell
- VASP energy: -2.33 eV/atom
- Magnetic moment: 0.00 μB per atom

=====

18.
## Ta2NiPd2 (GGA-PBE)

Data for crystalline Ta2NiPd2 at its relaxed geometry.

POSCAR file:
```
Ta2NiPd2
1.0
6.9982 0.0000 0.0000
0.0000 6.9982 0.0000
0.0000 0.0000 3.3730
Ta Ni Pd
4 2 4
Direct
0.1749 0.3251 0.0000 Ta
0.3251 0.8251 0.0000 Ta
0.6749 0.1749 0.0000 Ta
0.8251 0.6749 0.0000 Ta
0.0000 0.0000 0.5000 Ni
0.5000 0.5000 0.5000 Ni
0.1320 0.6320 0.5000 Pd
0.3680 0.1320 0.5000 Pd
0.6320 0.8680 0.5000 Pd
0.8680 0.3680 0.5000 Pd
```

- Calculated volume: 165 Å³ per cell
- VASP energy: -7.91 eV/atom
- Magnetic moment: 0.00 μB per atom
- Formation energy from the elements: 0.068 eV/atom

=====

19.
## Mg2TaCuBr (GGA-PBE)

Data for crystalline Mg2TaCuBr at its relaxed geometry.

POSCAR file:
```
Mg2TaCuBr
1.0
4.9950 0.0000 0.0000
0.0000 4.9950 0.0000
0.0000 0.0000 4.5998
Mg Ta Cu Br
2 1 1 1
Direct
0.0000 0.5000 0.0000 Mg
0.5000 0.0000 0.0000 Mg
0.0000 0.0000 0.5000 Ta
0.5000 0.5000 0.5000 Cu
0.5000 0.5000 0.0000 Br
```

- Calculated volume: 115 Å³ per cell
- VASP energy: -3.01 eV/atom
- Magnetic moment: 0.50 μB per atom

=====

20.
## Y2TaIr (GGA-PBE)

Data for crystalline Y2TaIr at its relaxed geometry.

POSCAR file:
```
Y2TaIr
1.0
-1.7354 2.5392 5.2646
1.7354 -2.5392 5.2646
1.7354 2.5392 -5.2646
Y Ta Ir
2 1 1
Direct
0.0000 0.0000 0.0000 Y
0.7105 0.2105 0.5000 Y
0.4159 0.4159 0.0000 Ta
0.2390 0.7390 0.5000 Ir
```

- Calculated volume: 93 Å³ per cell
- VASP energy: -8.65 eV/atom
- Distance to the lowest polymorph of the same formula: 0.17 kcal/mol of atoms
- Magnetic moment: 0.00 μB per atom
- Formation energy from the elements: -0.235 eV/atom